[1]
First-principles (PBE-GGA) data for a relaxed Ba2Tc2Au crystal, as listed in Alexandria via LeMat-Bulk.

Output
- calculated total energy (Ha/atom) = -0.197
- total magnetic moment (Bohr magnetons per cell) = 0.0

abc: 10.5850 10.5850 10.5850
angles: 160.32 160.32 27.97
Positions (direct):
Ba 0.1106 0.1106 0.0000
Ba 0.8894 0.8894 0.0000
Tc 0.2500 0.7500 0.5000
Tc 0.7500 0.2500 0.5000
Au 0.5000 0.5000 0.0000

---

[2]
First-principles (PBE-GGA) data for a relaxed La2CeC4 crystal, as listed in Alexandria via LeMat-Bulk.

Output
- calculated total energy (Ha/atom) = -0.281
- total magnetic moment (Bohr magnetons per cell) = 1.9

abc: 7.3264 7.3264 7.3264
angles: 104.28 93.20 134.23
Positions (direct):
La 0.1456 0.1449 0.2905
La 0.3544 0.6449 0.9994
La 0.6456 0.3551 0.0006
La 0.8544 0.8551 0.7095
Ce 0.2500 0.7500 0.5000
Ce 0.7500 0.2500 0.5000
C 0.0944 0.7173 0.8117
C 0.1307 0.8613 0.9920
C 0.3693 0.3613 0.7305
C 0.4056 0.2173 0.6230
C 0.5944 0.7827 0.3770
C 0.6307 0.6387 0.2695
C 0.8693 0.1387 0.0080
C 0.9056 0.2827 0.1883

---

[3]
First-principles (PBE-GGA) data for a relaxed SbIr2W crystal, as listed in Alexandria via LeMat-Bulk.

Output
- calculated total energy (Ha/atom) = -0.317
- total magnetic moment (Bohr magnetons per cell) = 0.0

abc: 2.9243 2.9243 7.9542
angles: 90.00 90.00 90.00
Positions (direct):
Sb 0.0000 0.0000 0.0000
Ir 0.5000 0.5000 0.2764
Ir 0.5000 0.5000 0.7236
W 0.0000 0.0000 0.5000